Below is a relaxed PmNdRe crystal, with properties calculated at the PBE level.

a = 10.8369 Å, b = 10.6317 Å, c = 4.2633 Å
α = 81.26°, β = 75.86°, γ = 22.88°
Element x y z (fractional)
1 Pm 0.2500 0.2500 0.2500
2 Pm 0.7500 0.7500 0.7500
3 Nd 0.0965 0.0965 0.9035
4 Nd 0.9035 0.9035 0.0965
5 Re 0.3235 0.6765 0.3235
6 Re 0.6765 0.3235 0.6765

Calculated values
Space group: No. 69
Crystal system: orthorhombic
Formation energy from the elements: 71.8 kJ per mole of atoms